1.
This record from Alexandria describes crystalline SrCuRh4 at its relaxed geometry. The functional is GGA-PBE.

Cell: 5.3018 5.3018 5.3018 Å, 60.00 60.00 60.00°
Closest atoms and distances in Å follow each position.
Element x y z (fractional)
Sr (0.0000, 0.0000, 0.0000)  12 Rh 3.11, 4 Cu 3.25
Cu (0.7500, 0.7500, 0.7500)  12 Rh 3.11, 4 Sr 3.25
Rh (0.3757, 0.3757, 0.3757)  6 Rh 2.64-2.67
Rh (0.3757, 0.3757, 0.8729)  6 Rh 2.64-2.67
Rh (0.3757, 0.8729, 0.3757)  6 Rh 2.64-2.67
Rh (0.8729, 0.3757, 0.3757)  6 Rh 2.64-2.67

Calculated values
Its crystal system is cubic. The space-group type is F-43m, No. 216. The formation energy from the elements is 0.1463 eV/atom.

2.
This record from Alexandria describes crystalline BeH at its relaxed geometry. The functional is GGA-PBE.

Cell: 3.6053 2.2586 3.8281 Å, 90.00 117.53 90.00°
Closest atoms and distances in Å follow each position.
Element x y z (fractional)
Be (0.0000, 0.0000, 0.0000)  4 H 1.56-1.57
Be (0.3480, 0.5000, 0.7394)  2 H 1.48-1.49
H (0.0809, 0.5000, 0.3083)  3 Be 1.48-1.56
H (0.7428, 0.5000, 0.7023)  3 Be 1.49-1.57

Calculated values
Its crystal system is monoclinic. The space-group type is Pm, No. 6. The excess energy over the best structure of this formula in the dataset is 97 meV per atom.

3.
This record from Alexandria describes crystalline Pm2H7Rh2 at its relaxed geometry. The functional is GGA-PBE.

Cell: 5.6833 5.6833 3.6029 Å, 94.06 94.06 107.59°
Closest atoms and distances in Å follow each position.
Element x y z (fractional)
Pm (0.2337, 0.7663, 0.0000)  6 H 2.31-2.49
Pm (0.7663, 0.2337, 0.0000)  6 H 2.31-2.49
H (0.0000, 0.0000, 0.5000)  2 Rh 1.86
H (0.1278, 0.4842, 0.4394)  1 H 1.60, 1 Rh 1.65
H (0.2814, 0.2814, 0.9726)  2 Rh 1.79-1.81
H (0.4842, 0.1278, 0.4394)  1 H 1.60, 1 Rh 1.65
H (0.5158, 0.8722, 0.5606)  1 H 1.60, 1 Rh 1.65
H (0.7186, 0.7186, 0.0274)  2 Rh 1.79-1.81
H (0.8722, 0.5158, 0.5606)  1 H 1.60, 1 Rh 1.65
Rh (0.2752, 0.2752, 0.4690)  4 H 1.65-1.81
Rh (0.7248, 0.7248, 0.5310)  4 H 1.65-1.81

Calculated values
Its crystal system is monoclinic. The calculation puts the final energy at -4.733 eV/atom. The space-group type is C2/m, No. 12.

4.
This record from Alexandria describes crystalline SrCaBiCl at its relaxed geometry. The functional is GGA-PBE.

Cell: 5.0354 5.0354 10.6936 Å, 90.00 90.00 90.00°
Closest atoms and distances in Å follow each position.
Element x y z (fractional)
Sr (0.2500, 0.2500, 0.1541)  4 Cl 3.01
Sr (0.7500, 0.7500, 0.8459)  4 Cl 3.01
Ca (0.2500, 0.7500, 0.5000)  4 Bi 3.22, 4 Ca 3.56
Ca (0.7500, 0.2500, 0.5000)  4 Bi 3.22, 4 Ca 3.56
Bi (0.2500, 0.2500, 0.6874)  4 Ca 3.22
Bi (0.7500, 0.7500, 0.3126)  4 Ca 3.22
Cl (0.2500, 0.7500, 0.0000)  4 Sr 3.01
Cl (0.7500, 0.2500, 0.0000)  4 Sr 3.01

Calculated values
Its crystal system is tetragonal. The space-group type is P4/nmm, No. 129. The excess energy over the best structure of this formula in the dataset is 0 meV per atom.

5.
This record from Alexandria describes crystalline PrTcH6 at its relaxed geometry. The functional is GGA-PBE.

Cell: 5.5515 5.5515 5.5515 Å, 60.00 60.00 60.00°
Closest atoms and distances in Å follow each position.
Element x y z (fractional)
Pr (0.0000, 0.0000, 0.0000)  6 H 2.19
Tc (0.5000, 0.5000, 0.5000)  6 H 1.73
H (0.2796, 0.2796, 0.7204)  1 Tc 1.73
H (0.2796, 0.7204, 0.2796)  1 Tc 1.73
H (0.2796, 0.7204, 0.7204)  1 Tc 1.73
H (0.7204, 0.2796, 0.2796)  1 Tc 1.73
H (0.7204, 0.2796, 0.7204)  1 Tc 1.73
H (0.7204, 0.7204, 0.2796)  1 Tc 1.73

Calculated values
Its crystal system is cubic. The calculation puts the final energy at -4.245 eV/atom. The space-group type is Fm-3m, No. 225.

6.
This record from Alexandria describes crystalline MgVMo2I at its relaxed geometry. The functional is GGA-PBE.

Cell: 4.9085 4.9085 4.7547 Å, 90.00 90.00 90.00°
Closest atoms and distances in Å follow each position.
Element x y z (fractional)
Mg (0.0000, 0.0000, 0.0000)  8 Mo 3.42, 4 V 3.47
V (0.5000, 0.5000, 0.0000)  2 I 2.38
Mo (0.0000, 0.5000, 0.5000)  2 I 2.45
Mo (0.5000, 0.0000, 0.5000)  2 I 2.45
I (0.5000, 0.5000, 0.5000)  2 V 2.38, 4 Mo 2.45

Calculated values
Its crystal system is tetragonal. The space-group type is P4/mmm, No. 123. The excess energy over the best structure of this formula in the dataset is 0 meV per atom.

7.
This record from Alexandria describes crystalline Y2FeCl at its relaxed geometry. The functional is GGA-PBE.

Cell: 7.3699 7.4460 3.3003 Å, 90.00 105.25 90.00°
Closest atoms and distances in Å follow each position.
Element x y z (fractional)
Y (0.2500, 0.2500, 0.0000)  2 Cl 2.83, 2 Fe 2.83
Y (0.2500, 0.7500, 0.0000)  2 Cl 2.83, 2 Fe 2.83
Y (0.7500, 0.2500, 0.0000)  2 Cl 2.83, 2 Fe 2.83
Y (0.7500, 0.7500, 0.0000)  2 Cl 2.83, 2 Fe 2.83
Fe (0.0000, 0.0000, 0.5000)  4 Y 2.83
Fe (0.5000, 0.5000, 0.5000)  4 Y 2.83
Cl (0.0000, 0.5000, 0.5000)  4 Y 2.83
Cl (0.5000, 0.0000, 0.5000)  4 Y 2.83

Calculated values
Its crystal system is monoclinic. The space-group type is C2/m, No. 12. The excess energy over the best structure of this formula in the dataset is 329 meV per atom.

8.
This record from Alexandria describes crystalline NdSm6Y8 at its relaxed geometry. The functional is GGA-PBE.

Cell: 8.7427 8.7427 8.7427 Å, 62.99 62.99 62.99°
Closest atoms and distances in Å follow each position.
Element x y z (fractional)
Nd (0.0000, 0.0000, 0.0000)  6 Sm 3.48, 6 Y 3.57
Sm (0.1059, 0.5379, 0.2294)  4 Y 3.43-3.76, 1 Nd 3.48, 4 Sm 3.52-3.81
Sm (0.2294, 0.1059, 0.5379)  4 Y 3.43-3.76, 1 Nd 3.48, 4 Sm 3.52-3.81
Sm (0.4621, 0.7706, 0.8941)  4 Y 3.42-3.76, 1 Nd 3.48, 4 Sm 3.52-3.81
Sm (0.5379, 0.2294, 0.1059)  4 Y 3.43-3.76, 1 Nd 3.48, 4 Sm 3.52-3.81
Sm (0.7706, 0.8941, 0.4621)  4 Y 3.43-3.76, 1 Nd 3.48, 4 Sm 3.52-3.81
Sm (0.8941, 0.4621, 0.7706)  4 Y 3.43-3.76, 1 Nd 3.48, 4 Sm 3.52-3.81
Y (0.1113, 0.7179, 0.7472)  3 Sm 3.43-3.76, 5 Y 3.45-3.47, 1 Nd 3.57
Y (0.2528, 0.8887, 0.2821)  3 Sm 3.43-3.76, 5 Y 3.45-3.47, 1 Nd 3.57
Y (0.2821, 0.2528, 0.8887)  3 Sm 3.43-3.76, 5 Y 3.45-3.47, 1 Nd 3.57
Y (0.4231, 0.4231, 0.4231)  4 Y 3.22-3.45, 3 Sm 3.43
Y (0.5769, 0.5769, 0.5769)  4 Y 3.22-3.45, 3 Sm 3.43
Y (0.7179, 0.7472, 0.1113)  3 Sm 3.42-3.76, 5 Y 3.45-3.47, 1 Nd 3.57
Y (0.7472, 0.1113, 0.7179)  3 Sm 3.43-3.76, 5 Y 3.45-3.47, 1 Nd 3.57
Y (0.8887, 0.2821, 0.2528)  3 Sm 3.43-3.76, 5 Y 3.45-3.47, 1 Nd 3.57

Calculated values
Its crystal system is trigonal. The space-group type is R-3, No. 148. The formation energy from the elements is 0.1245 eV/atom.

9.
This record from Alexandria describes crystalline ZnHg3S2Cl4 at its relaxed geometry. The functional is GGA-PBE.

Cell: 7.0173 7.0173 14.0276 Å, 90.00 90.00 116.56°
Closest atoms and distances in Å follow each position.
Element x y z (fractional)
Zn (0.0055, 0.9945, 0.5000)  3 Cl 2.30-2.35, 1 S 2.30
Zn (0.9945, 0.0055, 0.0000)  3 Cl 2.30-2.35, 1 S 2.30
Hg (0.0069, 0.5376, 0.8624)  2 S 2.53-2.60, 2 Cl 2.66-2.77
Hg (0.4624, 0.9931, 0.8624)  2 S 2.53-2.60, 2 Cl 2.66-2.77
Hg (0.4713, 0.5287, 0.7123)  1 S 2.40, 2 Cl 2.60
Hg (0.5287, 0.4713, 0.2123)  1 S 2.40, 2 Cl 2.60
Hg (0.5376, 0.0069, 0.3624)  2 S 2.53-2.60, 2 Cl 2.66-2.77
Hg (0.9931, 0.4624, 0.3624)  2 S 2.53-2.60, 2 Cl 2.66-2.77
S (0.0764, 0.9236, 0.8514)  1 Zn 2.30, 2 Hg 2.53
S (0.4000, 0.6000, 0.8724)  3 Hg 2.40-2.60
S (0.6000, 0.4000, 0.3724)  3 Hg 2.40-2.60
S (0.9236, 0.0764, 0.3514)  1 Zn 2.30, 2 Hg 2.53
Cl (0.2017, 0.7983, 0.4873)  1 Zn 2.35
Cl (0.2028, 0.3078, 0.5804)  1 Zn 2.30
Cl (0.2913, 0.7087, 0.2396)  3 Hg 2.66-2.86
Cl (0.3078, 0.2028, 0.0804)  1 Zn 2.30
Cl (0.6922, 0.7972, 0.5804)  1 Zn 2.30
Cl (0.7087, 0.2913, 0.7396)  3 Hg 2.66-2.86
Cl (0.7972, 0.6922, 0.0804)  1 Zn 2.30
Cl (0.7983, 0.2017, 0.9873)  1 Zn 2.35

Calculated values
Its crystal system is orthorhombic. The calculation puts the final energy at -2.264 eV/atom. The space-group type is Cmc2_1, No. 36.

10.
This record from Alexandria describes crystalline TeOsRu2 at its relaxed geometry. The functional is GGA-PBE.

Cell: 5.7431 7.4715 2.9366 Å, 90.00 90.00 90.00°
Closest atoms and distances in Å follow each position.
Element x y z (fractional)
Te (0.0000, 0.0000, 0.0000)  8 Ru 2.78, 2 Os 2.87, 2 Te 2.94
Te (0.5000, 0.5000, 0.0000)  8 Ru 2.78, 2 Os 2.87, 2 Te 2.94
Os (0.0000, 0.5000, 0.0000)  8 Ru 2.78, 2 Te 2.87, 2 Os 2.94
Os (0.5000, 0.0000, 0.0000)  8 Ru 2.78, 2 Te 2.87, 2 Os 2.94
Ru (0.2500, 0.2500, 0.5000)  4 Te 2.78, 4 Os 2.78, 4 Ru 2.87-2.94
Ru (0.2500, 0.7500, 0.5000)  4 Te 2.78, 4 Os 2.78, 4 Ru 2.87-2.94
Ru (0.7500, 0.2500, 0.5000)  4 Te 2.78, 4 Os 2.78, 4 Ru 2.87-2.94
Ru (0.7500, 0.7500, 0.5000)  4 Te 2.78, 4 Os 2.78, 4 Ru 2.87-2.94

Calculated values
Its crystal system is orthorhombic. The calculation puts the final energy at -7.687 eV/atom. The space-group type is Cmmm, No. 65.